Entry 1:
! Re2AgCl PBE optimized geometry; values from VASP
! E above lowest polymorph = 0.895 eV per atom
! Mass density = 11.37 Mg/m³
! Raw formation energy = 1141.2 meV/atom
&SYSTEM
  ibrav = 0, nat = 8, ntyp = 3
/
ATOMIC_SPECIES
Re 186.21 Re.upf
Ag 107.87 Ag.upf
Cl 35.45 Cl.upf
ATOMIC_POSITIONS angstrom
Re -1.259 -3.861 -0.839
Re 1.368 -3.080 -2.043
Re 1.561 -8.651 -0.826
Re 0.728 -9.869 -3.430
Ag 0.000 0.000 0.000
Ag -0.525 -6.655 -1.130
Cl -0.980 -1.152 -2.195
Cl 1.724 -6.076 -2.439
CELL_PARAMETERS angstrom
-3.230 -1.730 -0.887
1.269 -0.573 -3.503
3.160 -10.427 0.822

Entry 2:
! Re2AgCl PBE optimized geometry; values from VASP
! E above lowest polymorph = 0.270 eV per atom
! Mass density = 12.77 Mg/m³
! Raw formation energy = 515.5 meV/atom
&SYSTEM
  ibrav = 0, nat = 4, ntyp = 3
/
ATOMIC_SPECIES
Re 186.21 Re.upf
Ag 107.87 Ag.upf
Cl 35.45 Cl.upf
ATOMIC_POSITIONS angstrom
Re 0.000 0.000 0.023
Re 0.750 1.257 2.115
Ag 0.000 0.000 4.624
Cl 0.750 1.257 7.195
CELL_PARAMETERS angstrom
2.864 -0.003 0.000
-1.365 2.518 0.000
0.000 0.000 9.305

Entry 3:
! Re2AgCl PBE optimized geometry; values from VASP
! E above lowest polymorph = 1.016 eV per atom
! Mass density = 10.64 Mg/m³
! Raw formation energy = 1262.2 meV/atom
&SYSTEM
  ibrav = 0, nat = 4, ntyp = 3
/
ATOMIC_SPECIES
Re 186.21 Re.upf
Ag 107.87 Ag.upf
Cl 35.45 Cl.upf
ATOMIC_POSITIONS angstrom
Re 0.000 0.000 0.504
Re 0.000 0.000 2.719
Ag 1.436 2.174 1.611
Cl 1.436 2.174 4.834
CELL_PARAMETERS angstrom
2.872 0.000 0.000
0.000 4.348 0.000
0.000 0.000 6.445